Crystalline Tm3Mg7 at its relaxed geometry. Source: Alexandria via LeMat-Bulk, functional PBE.

Values from the calculation:
Space group   C2/m (12)
Energy relative to the elements   -0.037 eV/atom
Magnetic moment   0.00 μB per formula unit

```
data_Tm3Mg7
_space_group_name_H-M_alt 'P 1'
_space_group_IT_number 1
_cell_length_a 5.135
_cell_length_b 6.444
_cell_length_c 8.944
_cell_angle_alpha 116.70
_cell_angle_beta 106.68
_cell_angle_gamma 90.00
loop_
_space_group_symop_operation_xyz
'x,y,z'
loop_
_atom_site_label
_atom_site_type_symbol
_atom_site_fract_x
_atom_site_fract_y
_atom_site_fract_z
_atom_site_occupancy
Mg1 Mg 0.800 0.906 0.599 1
Mg2 Mg 0.395 0.173 0.789 1
Mg3 Mg 0.593 0.315 0.186 1
Mg4 Mg 0.605 0.827 0.211 1
Mg5 Mg 0.407 0.685 0.814 1
Mg6 Mg 0.200 0.094 0.401 1
Mg7 Mg 0.000 0.500 0.000 1
Tm1 Tm 0.795 0.392 0.590 1
Tm2 Tm 0.205 0.608 0.410 1
Tm3 Tm 0.000 0.000 0.000 1
```

***

Crystalline Tm2Mg3 at its relaxed geometry. Source: Alexandria via LeMat-Bulk, functional PBE.

Values from the calculation:
Space group   R-3m (166)
Energy relative to the elements   0.028 eV/atom
Energy above the lowest structure with this stoichiometry   77 meV per atom
Magnetic moment   0.00 μB per formula unit

```
data_Tm2Mg3
_space_group_name_H-M_alt 'P 1'
_space_group_IT_number 1
_cell_length_a 3.338
_cell_length_b 3.338
_cell_length_c 13.832
_cell_angle_alpha 83.07
_cell_angle_beta 83.07
_cell_angle_gamma 60.00
loop_
_space_group_symop_operation_xyz
'x,y,z'
loop_
_atom_site_label
_atom_site_type_symbol
_atom_site_fract_x
_atom_site_fract_y
_atom_site_fract_z
_atom_site_occupancy
Mg1 Mg 0.103 0.103 0.691 1
Mg2 Mg 0.500 0.500 0.500 1
Mg3 Mg 0.897 0.897 0.309 1
Tm1 Tm 0.701 0.701 0.897 1
Tm2 Tm 0.299 0.299 0.103 1
```

***

Crystalline Tm2Mg at its relaxed geometry. Source: Alexandria via LeMat-Bulk, functional PBE.

Values from the calculation:
Space group   P4/mmm (123)
Energy relative to the elements   -0.029 eV/atom
Magnetic moment   0.00 μB per formula unit

```
data_Tm2Mg
_space_group_name_H-M_alt 'P 1'
_space_group_IT_number 1
_cell_length_a 3.547
_cell_length_b 3.547
_cell_length_c 13.327
_cell_angle_alpha 90.00
_cell_angle_beta 90.00
_cell_angle_gamma 90.00
loop_
_space_group_symop_operation_xyz
'x,y,z'
loop_
_atom_site_label
_atom_site_type_symbol
_atom_site_fract_x
_atom_site_fract_y
_atom_site_fract_z
_atom_site_occupancy
Tm1 Tm 0.500 0.500 0.000 1
Tm2 Tm 0.500 0.500 0.680 1
Tm3 Tm 0.500 0.500 0.320 1
Tm4 Tm 0.000 0.000 0.500 1
Mg1 Mg 0.000 0.000 0.157 1
Mg2 Mg 0.000 0.000 0.843 1
```

***

Crystalline Tm3Mg5 at its relaxed geometry. Source: Alexandria via LeMat-Bulk, functional PBE.

Values from the calculation:
Space group   P4/mmm (123)
Energy relative to the elements   -0.032 eV/atom
Energy above the lowest structure with this stoichiometry   15 meV per atom
Magnetic moment   0.00 μB per formula unit

```
data_Tm3Mg5
_space_group_name_H-M_alt 'P 1'
_space_group_IT_number 1
_cell_length_a 3.432
_cell_length_b 3.432
_cell_length_c 17.459
_cell_angle_alpha 90.00
_cell_angle_beta 90.00
_cell_angle_gamma 90.00
loop_
_space_group_symop_operation_xyz
'x,y,z'
loop_
_atom_site_label
_atom_site_type_symbol
_atom_site_fract_x
_atom_site_fract_y
_atom_site_fract_z
_atom_site_occupancy
Mg1 Mg 0.000 0.000 0.257 1
Mg2 Mg 0.000 0.000 0.743 1
Mg3 Mg 0.000 0.000 0.000 1
Mg4 Mg 0.500 0.500 0.631 1
Mg5 Mg 0.500 0.500 0.369 1
Tm1 Tm 0.000 0.000 0.500 1
Tm2 Tm 0.500 0.500 0.873 1
Tm3 Tm 0.500 0.500 0.127 1
```